No. 1
AlRePCl2: relaxed, GGA-PBE.

```
AlRePCl2
1.0
-2.6258 -2.5093 -3.4150
-0.4284 -3.8397 3.1507
-3.8775 1.7961 1.6616
P Re Cl Al
1 1 2 1
direct
0.0000 0.0000 0.5000
0.0000 0.0000 0.0000
0.5000 0.0000 0.0000
0.0000 0.5000 0.0000
0.5000 0.5000 0.5000
```

## Properties
Polymorph energy (0 for the lowest one)   0.000 eV/f.u.

---

No. 2
AlP2RhCl: relaxed, GGA-PBE.

```
AlP2RhCl
1.0
4.6278 0.0000 0.0000
0.0000 4.6278 0.0000
0.0000 0.0000 4.4678
Al Cl Rh P
1 1 1 2
direct
0.0000 0.0000 0.0000
0.0000 0.0000 0.5000
0.5000 0.5000 0.5000
0.5000 0.0000 0.0000
0.0000 0.5000 0.0000
```

## Properties
Polymorph energy (0 for the lowest one)   1.493 eV/f.u.

---

No. 3
AlP2RhCl: relaxed, GGA-PBE.

```
AlP2RhCl
1.0
-1.2820 4.3345 -0.3553
-2.2230 -0.9715 -3.8304
-4.3131 -1.0487 2.7691
P Al Rh Cl
2 1 1 1
direct
0.0000 0.5000 0.0000
0.5000 0.0000 0.0000
0.5000 0.5000 0.5000
0.0000 0.0000 0.0000
0.0000 0.0000 0.5000
```

## Properties
Polymorph energy (0 for the lowest one)   0.000 eV/f.u.

---

No. 4
AlPRu2Cl: relaxed, GGA-PBE.

```
AlPRu2Cl
1.0
4.4494 0.0000 0.0000
0.0000 4.7249 0.0000
0.0000 0.0000 4.4494
Ru P Cl Al
2 1 1 1
direct
0.0000 0.0000 0.5000
0.5000 0.0000 0.0000
0.0000 0.0000 0.0000
0.5000 0.5000 0.5000
0.0000 0.5000 0.0000
```

---

No. 5
AlSiPCl2: relaxed, GGA-PBE.

```
AlSiPCl2
1.0
4.5478 0.0000 0.0000
0.0000 4.5478 0.0000
0.0000 0.0000 5.0149
P Si Al Cl
1 1 1 2
direct
0.0000 0.0000 0.5000
0.5000 0.5000 0.5000
0.0000 0.0000 0.0000
0.0000 0.5000 0.0000
0.5000 0.0000 0.0000
```

## Properties
Polymorph energy (0 for the lowest one)   0.000 eV/f.u.

---

No. 6
AlSiP2Cl: relaxed, GGA-PBE.

```
AlSiP2Cl
1.0
-1.3014 2.2335 -3.7478
-1.8468 -3.8253 -1.6384
-4.1188 1.0962 2.0835
Si Cl P Al
1 1 2 1
direct
0.0000 0.0000 0.0000
0.0000 0.0000 0.5000
0.0000 0.5000 0.0000
0.5000 0.0000 0.0000
0.5000 0.5000 0.5000
```

## Properties
Polymorph energy (0 for the lowest one)   0.000 eV/f.u.

---

No. 7
AlSnPCl2: relaxed, GGA-PBE.

```
AlSnPCl2
1.0
-4.6309 0.4458 0.4621
-0.2822 -4.4356 1.4503
0.6170 1.5071 4.7295
Cl P Sn Al
2 1 1 1
direct
0.5000 0.0000 0.0000
0.0000 0.5000 0.0000
0.0000 0.0000 0.5000
0.5000 0.5000 0.5000
0.0000 0.0000 0.0000
```

## Properties
Polymorph energy (0 for the lowest one)   0.000 eV/f.u.

---

No. 8
AlSnPCl2: relaxed, GGA-PBE.

```
AlSnPCl2
1.0
5.3121 0.0000 0.0000
0.0000 5.3121 0.0000
0.0000 0.0000 5.1818
Cl Sn Al P
2 1 1 1
direct
0.0000 0.5000 0.0000
0.5000 0.0000 0.0000
0.0000 0.0000 0.0000
0.5000 0.5000 0.5000
0.0000 0.0000 0.5000
```

## Properties
Polymorph energy (0 for the lowest one)   2.344 eV/f.u.

---

No. 9
SrAlP2Cl: relaxed, GGA-PBE.

```
SrAlP2Cl
1.0
-1.0074 -1.6284 4.1912
3.0528 -3.4011 -0.5877
3.8847 3.1162 2.1445
Sr Al P Cl
1 1 2 1
direct
0.5000 0.5000 0.5000
0.0000 0.0000 0.0000
0.5000 0.0000 0.0000
0.0000 0.5000 0.0000
0.0000 0.0000 0.5000
```

## Properties
Polymorph energy (0 for the lowest one)   0.000 eV/f.u.

---

No. 10
SrAlP2Cl: relaxed, GGA-PBE.

```
SrAlP2Cl
1.0
5.8654 0.0000 0.0000
0.0000 5.8654 0.0000
0.0000 0.0000 5.4999
Sr P Cl Al
1 2 1 1
direct
0.0000 0.0000 0.0000
0.0000 0.5000 0.0000
0.5000 0.0000 0.0000
0.0000 0.0000 0.5000
0.5000 0.5000 0.5000
```

## Properties
Polymorph energy (0 for the lowest one)   5.840 eV/f.u.

---

No. 11
TaAlP2Cl: relaxed, GGA-PBE.

```
TaAlP2Cl
1.0
4.8428 0.0000 0.0000
0.0000 4.8428 0.0000
0.0000 0.0000 4.9413
Al Ta P Cl
1 1 2 1
direct
0.5000 0.5000 0.5000
0.0000 0.0000 0.0000
0.0000 0.5000 0.0000
0.5000 0.0000 0.0000
0.0000 0.0000 0.5000
```

## Properties
Polymorph energy (0 for the lowest one)   0.000 eV/f.u.

---

No. 12
TaAlPCl2: relaxed, GGA-PBE.

```
TaAlPCl2
1.0
4.4607 0.0000 0.0000
0.0000 4.4607 0.0000
0.0000 0.0000 5.0726
Cl Ta P Al
2 1 1 1
direct
0.5000 0.0000 0.0000
0.0000 0.5000 0.0000
0.5000 0.5000 0.5000
0.0000 0.0000 0.5000
0.0000 0.0000 0.0000
```

## Properties
Polymorph energy (0 for the lowest one)   2.811 eV/f.u.

---

Number 1: uncorrected formation energy 354 meV/atom, DOS at the Fermi energy 0.593 states/eV/atom. Number 2: uncorrected formation energy 682 meV/atom, DOS at the Fermi energy 0.851 states/eV/atom. Number 3: uncorrected formation energy 383 meV/atom, DOS at the Fermi energy 0.795 states/eV/atom. Number 4: uncorrected formation energy 585 meV/atom, DOS at the Fermi energy 0.564 states/eV/atom. Number 5: uncorrected formation energy 60 meV/atom, DOS at the Fermi energy 0.340 states/eV/atom. Number 6: uncorrected formation energy 457 meV/atom, DOS at the Fermi energy 0.676 states/eV/atom. Number 7: uncorrected formation energy -367 meV/atom, DOS at the Fermi energy 0.229 states/eV/atom. Number 8: uncorrected formation energy 101 meV/atom, DOS at the Fermi energy 0.621 states/eV/atom. Number 9: uncorrected formation energy -643 meV/atom, DOS at the Fermi energy 0.166 states/eV/atom. Number 10: uncorrected formation energy 525 meV/atom, DOS at the Fermi energy 0.824 states/eV/atom. Number 11: uncorrected formation energy 120 meV/atom, DOS at the Fermi energy 0.607 states/eV/atom. Number 12: uncorrected formation energy 446 meV/atom, DOS at the Fermi energy 0.810 states/eV/atom.